Entry 1:
Compound: La3AgC
Source: Alexandria
Functional: PBE
Structure: relaxed

Unit cell a=7.232 b=7.232 c=10.758 alpha=105.30 beta=105.30 gamma=30.72
Fractional coordinates of all 10 atoms:
La1 0.128 0.128 0.192
La2 0.167 0.167 0.612
La3 0.355 0.355 0.100
La4 0.645 0.645 0.900
La5 0.833 0.833 0.388
La6 0.872 0.872 0.808
Ag1 0.461 0.461 0.615
Ag2 0.539 0.539 0.385
C1 0.259 0.259 0.851
C2 0.741 0.741 0.149

Calculated values
* energy relative to the elements: -0.160 eV per atom

***

Entry 2:
Compound: LaAgC
Source: Alexandria
Functional: PBE
Structure: relaxed

Unit cell a=7.122 b=3.878 c=8.117 alpha=90.00 beta=90.00 gamma=90.00
Fractional coordinates of all 12 atoms:
La1 0.035 0.250 0.185
La2 0.465 0.750 0.685
La3 0.535 0.250 0.315
La4 0.965 0.750 0.815
Ag1 0.156 0.250 0.540
Ag2 0.344 0.750 0.040
Ag3 0.656 0.250 0.960
Ag4 0.844 0.750 0.460
C1 0.200 0.250 0.885
C2 0.300 0.750 0.385
C3 0.700 0.250 0.615
C4 0.800 0.750 0.115

Calculated values
* energy relative to the elements: 0.367 eV per atom

***

Entry 3:
Compound: LaAgC
Source: Alexandria
Functional: PBE
Structure: relaxed

Unit cell a=3.817 b=3.817 c=4.255 alpha=90.00 beta=90.00 gamma=90.00
Fractional coordinates of all 3 atoms:
La1 0.000 0.000 0.000
Ag1 0.500 0.500 0.500
C1 0.500 0.500 0.000

Calculated values
* energy relative to the elements: 0.214 eV per atom

***

Entry 4:
Compound: LaAgC
Source: Alexandria
Functional: PBE
Structure: relaxed

Unit cell a=4.803 b=4.803 c=5.755 alpha=90.00 beta=90.00 gamma=120.00
Fractional coordinates of all 6 atoms:
La1 0.333 0.667 0.250
La2 0.667 0.333 0.750
Ag1 0.000 0.000 0.000
Ag2 0.000 0.000 0.500
C1 0.333 0.667 0.750
C2 0.667 0.333 0.250

Calculated values
* energy relative to the elements: 0.513 eV per atom

***

Entry 5:
Compound: LaAgC
Source: Alexandria
Functional: PBE
Structure: relaxed

Unit cell a=4.119 b=4.562 c=7.336 alpha=88.72 beta=79.26 gamma=80.35
Fractional coordinates of all 6 atoms:
La1 0.000 0.000 0.000
La2 0.195 0.466 0.397
Ag1 0.549 0.504 0.791
Ag2 0.678 0.994 0.585
C1 0.522 0.681 0.097
C2 0.763 0.553 0.187

Calculated values
* energy relative to the elements: -0.063 eV per atom

***

Entry 6:
Compound: LaAgC
Source: Alexandria
Functional: PBE
Structure: relaxed

Unit cell a=4.085 b=4.085 c=7.724 alpha=90.00 beta=90.00 gamma=120.00
Fractional coordinates of all 6 atoms:
La1 0.000 0.000 0.000
La2 0.000 0.000 0.500
Ag1 0.333 0.667 0.250
Ag2 0.667 0.333 0.750
C1 0.333 0.667 0.750
C2 0.667 0.333 0.250

Calculated values
* energy relative to the elements: 0.427 eV per atom

***

Entry 7:
Compound: La3AgC
Source: Alexandria
Functional: PBE
Structure: relaxed

Unit cell a=5.204 b=5.204 c=5.204 alpha=90.00 beta=90.00 gamma=90.00
Fractional coordinates of all 5 atoms:
La1 0.000 0.000 0.500
La2 0.000 0.500 0.000
La3 0.500 0.000 0.000
Ag1 0.500 0.500 0.500
C1 0.000 0.000 0.000

Calculated values
* energy relative to the elements: -0.062 eV per atom

***

Entry 8:
Compound: La2MnAgC
Source: Alexandria
Functional: PBE
Structure: relaxed

Unit cell a=5.406 b=5.406 c=3.818 alpha=90.00 beta=90.00 gamma=90.00
Fractional coordinates of all 5 atoms:
La1 0.000 0.500 0.000
La2 0.500 0.000 0.000
Mn1 0.000 0.000 0.500
Ag1 0.500 0.500 0.500
C1 0.000 0.000 0.000

Calculated values
* energy relative to the elements: -0.147 eV per atom

***

Entry 9:
Compound: La2AgC2N6
Source: Alexandria
Functional: PBE
Structure: relaxed

Unit cell a=4.902 b=5.785 c=6.227 alpha=116.81 beta=90.80 gamma=110.95
Fractional coordinates of all 11 atoms:
La1 0.205 0.396 0.205
La2 0.795 0.604 0.795
Ag1 0.000 0.000 0.500
C1 0.493 0.971 0.743
C2 0.507 0.029 0.257
N1 0.197 0.914 0.186
N2 0.326 0.697 0.663
N3 0.388 0.169 0.772
N4 0.612 0.831 0.228
N5 0.674 0.303 0.337
N6 0.803 0.086 0.814

Calculated values
* uncorrected formation energy: -3.4 eV/f.u.

***

Entry 10:
Compound: La2NdAgC
Source: Alexandria
Functional: PBE
Structure: relaxed

Unit cell a=5.102 b=5.102 c=5.325 alpha=90.00 beta=90.00 gamma=90.00
Fractional coordinates of all 5 atoms:
La1 0.000 0.500 0.000
La2 0.500 0.000 0.000
Nd1 0.000 0.000 0.497
Ag1 0.500 0.500 0.515
C1 0.000 0.000 0.052

Calculated values
* energy relative to the elements: -0.057 eV per atom

***

Entry 11:
Compound: LaAgC2O6
Source: Alexandria
Functional: PBE
Structure: relaxed

Unit cell a=6.711 b=6.711 c=7.607 alpha=112.56 beta=112.56 gamma=85.91
Fractional coordinates of all 20 atoms:
La1 0.097 0.903 0.750
La2 0.903 0.097 0.250
Ag1 0.429 0.571 0.250
Ag2 0.571 0.429 0.750
C1 0.118 0.374 0.790
C2 0.374 0.118 0.290
C3 0.626 0.882 0.710
C4 0.882 0.626 0.210
O1 0.006 0.788 0.373
O2 0.136 0.559 0.784
O3 0.212 0.994 0.127
O4 0.223 0.329 0.953
O5 0.329 0.223 0.453
O6 0.441 0.864 0.716
O7 0.559 0.136 0.284
O8 0.671 0.777 0.547
O9 0.777 0.671 0.047
O10 0.788 0.006 0.873
O11 0.864 0.441 0.216
O12 0.994 0.212 0.627

Calculated values
* uncorrected formation energy: -18.0 eV/f.u.

***

Entry 12:
Compound: La2AgOsC
Source: Alexandria
Functional: PBE
Structure: relaxed

Unit cell a=5.360 b=5.360 c=3.926 alpha=90.00 beta=90.00 gamma=90.00
Fractional coordinates of all 5 atoms:
La1 0.000 0.500 0.000
La2 0.500 0.000 0.000
Ag1 0.000 0.000 0.500
Os1 0.500 0.500 0.500
C1 0.500 0.500 0.000

Calculated values
* energy relative to the elements: -0.264 eV per atom

***

In order of appearance, density of states at the Fermi level = 10.0 0.1 1.9 0.5 1.3 0.2 6.2 4.5 4.2 5.3 0.0 2.8 states/eV per cell.
In order of appearance, size of the total moment = 0.0 0.0 0.0 0.0 0.0 0.0 0.0 2.0 0.0 0.0 0.0 0.0 μB/f.u..